(A)
Computed, not measured: crystalline In2GaTe at its relaxed geometry at the PBE-GGA level of DFT.

Its crystal system is tetragonal.

Cell lengths 6.634, 6.634, 12.722 Å; angles 90.00, 90.00, 90.00 degrees
Space group I-42d (No. 122)
Inequivalent atoms, fractional coordinates:
In 0.216 0.250 0.125
Ga 0.000 0.000 0.000
Te 0.000 0.000 0.500

***

(B)
Computed, not measured: crystalline In2GaTe at its relaxed geometry at the PBE-GGA level of DFT.

Its crystal system is cubic.

Cell lengths 7.585, 7.585, 7.585 Å; angles 90.00, 90.00, 90.00 degrees
Space group Fm-3m (No. 225)
Inequivalent atoms, fractional coordinates:
In 0.250 0.250 0.250
Ga 0.000 0.000 0.000
Te 0.000 0.000 0.500

***

It is (A) that is the most stable of them.

***

(A)
Computed, not measured: crystalline In2GaTe at its relaxed geometry at the PBE-GGA level of DFT.

Its crystal system is trigonal.

Cell lengths 4.1030, 4.1030, 23.4044 Å; angles 90.00, 90.00, 120.00 degrees
Space group R3m (No. 160, hexagonal axes)
Inequivalent atoms, fractional coordinates:
In 0.0000 0.0000 0.0000
In 0.0000 0.0000 0.1614
Ga 0.0000 0.0000 0.4141
Te 0.0000 0.0000 0.5820

***

(B)
Computed, not measured: crystalline In2GaTe at its relaxed geometry at the PBE-GGA level of DFT.

Its crystal system is trigonal.

Cell lengths 4.0530, 4.0530, 29.6778 Å; angles 90.00, 90.00, 120.00 degrees
Space group R-3m (No. 166, hexagonal axes)
Inequivalent atoms, fractional coordinates:
In 0.0000 0.0000 0.0990
Ga 0.0000 0.0000 0.0000
Te 0.0000 0.0000 0.5000

***

It is (A) that is the most stable of them.

***

(A)
Computed, not measured: crystalline InGa2Te at its relaxed geometry at the PBE-GGA level of DFT.

Its crystal system is tetragonal.

Cell lengths 4.834, 4.834, 4.391 Å; angles 90.00, 90.00, 90.00 degrees
Space group P4/mmm (No. 123)
Inequivalent atoms, fractional coordinates:
In 0.000 0.000 0.000
Ga 0.000 0.500 0.500
Te 0.500 0.500 0.000

***

(B)
Computed, not measured: crystalline InGa2Te at its relaxed geometry at the PBE-GGA level of DFT.

Its crystal system is cubic.

Cell lengths 7.392, 7.392, 7.392 Å; angles 90.00, 90.00, 90.00 degrees
Space group Fm-3m (No. 225)
Inequivalent atoms, fractional coordinates:
In 0.000 0.000 0.000
Ga 0.250 0.250 0.250
Te 0.000 0.000 0.500

***

It is (A) that is the most stable of them.

***

(A)
Computed, not measured: crystalline InGa2Te at its relaxed geometry at the PBE-GGA level of DFT.

Its crystal system is trigonal.

Cell lengths 3.9116, 3.9116, 28.3220 Å; angles 90.00, 90.00, 120.00 degrees
Space group R-3m (No. 166, hexagonal axes)
Inequivalent atoms, fractional coordinates:
In 0.0000 0.0000 0.0000
Ga 0.0000 0.0000 0.1026
Te 0.0000 0.0000 0.5000

***

(B)
Computed, not measured: crystalline InGa2Te at its relaxed geometry at the PBE-GGA level of DFT.

Its crystal system is tetragonal.

Cell lengths 6.449, 6.449, 12.317 Å; angles 90.00, 90.00, 90.00 degrees
Space group I-42d (No. 122)
Inequivalent atoms, fractional coordinates:
In 0.000 0.000 0.000
Ga 0.240 0.250 0.125
Te 0.000 0.000 0.500

***

It is (B) that is the most stable of them.

***

(A)
Computed, not measured: crystalline InGa2Te at its relaxed geometry at the PBE-GGA level of DFT.

Its crystal system is trigonal.

Cell lengths 4.0056, 4.0056, 22.5818 Å; angles 90.00, 90.00, 120.00 degrees
Space group R3m (No. 160, hexagonal axes)
Inequivalent atoms, fractional coordinates:
In 0.0000 0.0000 0.0000
Ga 0.0000 0.0000 0.5814
Ga 0.0000 0.0000 0.7543
Te 0.0000 0.0000 0.1694

***

(B)
Computed, not measured: crystalline InGa2Te at its relaxed geometry at the PBE-GGA level of DFT.

Its crystal system is tetragonal.

Cell lengths 3.822, 3.822, 6.898 Å; angles 90.00, 90.00, 90.00 degrees
Space group P4/mmm (No. 123)
Inequivalent atoms, fractional coordinates:
In 0.000 0.000 0.000
Ga 0.500 0.500 0.265
Te 0.000 0.000 0.500

***

It is (A) that is the most stable of them.

***

(A)
Computed, not measured: crystalline In3GaTe at its relaxed geometry at the PBE-GGA level of DFT.

Its crystal system is cubic.

Cell lengths 5.357, 5.357, 5.357 Å; angles 90.00, 90.00, 90.00 degrees
Space group Pm-3m (No. 221)
Inequivalent atoms, fractional coordinates:
In 0.000 0.000 0.500
Ga 0.000 0.000 0.000
Te 0.500 0.500 0.500

***

(B)
Computed, not measured: crystalline In3GaTe at its relaxed geometry at the PBE-GGA level of DFT.

Its crystal system is cubic.

Cell lengths 5.987, 5.987, 5.987 Å; angles 90.00, 90.00, 90.00 degrees
Space group Pm-3m (No. 221)
Inequivalent atoms, fractional coordinates:
In 0.000 0.000 0.500
Ga 0.500 0.500 0.500
Te 0.000 0.000 0.000

***

It is (A) that is the most stable of them.